(1)
Density functional theory data (PBE-GGA) for CaHgRu2Cl after structural relaxation.

extended XYZ file:
```
5
Lattice="4.4759 0.0000 0.0000 0.0000 4.9530 0.0000 0.0000 0.0000 4.4759" Properties=species:S:1:pos:R:3 pbc="T T T"
Ru 0.0000 0.0000 2.2379
Ru 2.2379 0.0000 0.0000
Ca 0.0000 2.4765 0.0000
Hg 2.2379 2.4765 2.2379
Cl 0.0000 0.0000 0.0000
```

Results
* formation energy (no corrections): 455 meV per atom
* space group: P4/mmm, No. 123

***

(2)
Density functional theory data (PBE-GGA) for KPBrO2 after structural relaxation.

extended XYZ file:
```
5
Lattice="-0.1147 2.5298 3.8227 -4.2329 -1.5261 0.8829 2.9468 -5.8737 3.9755" Properties=species:S:1:pos:R:3 pbc="T T T"
P 1.4734 -2.9369 1.9877
K 0.0000 0.0000 0.0000
O -2.1165 -0.7630 0.4414
O -0.0574 1.2649 1.9114
Br -0.7004 -2.4350 4.3405
```

Results
* formation energy (no corrections): 1028 meV per atom
* space group: P4/mmm, No. 123

***

(3)
Density functional theory data (PBE-GGA) for La2WBr after structural relaxation.

extended XYZ file:
```
4
Lattice="-0.8339 -4.8881 -2.0729 5.0442 -0.1068 -1.8523 -1.4732 0.5371 5.1349" Properties=species:S:1:pos:R:3 pbc="T T T"
Br 2.8381 -1.0336 0.6600
W -0.1010 -3.4242 0.5497
La 4.1282 -4.8975 -3.8487
La 2.1873 -2.5948 -2.0392
```

Results
* formation energy (no corrections): 247 meV per atom
* space group: C2/m, No. 12

***

(4)
Density functional theory data (PBE-GGA) for Li2InRh after structural relaxation.

extended XYZ file:
```
4
Lattice="-5.2691 7.0520 3.0111 -5.1445 5.4748 5.4884 -2.9880 7.3635 4.8386" Properties=species:S:1:pos:R:3 pbc="T T T"
In -10.0513 14.9177 10.0036
Li -13.2521 19.6682 13.1892
Li -6.8504 10.1671 6.8179
Rh -3.3504 4.9726 3.3345
```

Results
* calculated formation energy: 0.004 eV per atom
* space group: R-3m, No. 166

***

(5)
Density functional theory data (PBE-GGA) for GaAs2Br after structural relaxation.

extended XYZ file:
```
4
Lattice="-2.4661 -4.1851 0.5664 -2.6517 -0.7480 4.0406 -4.8842 -0.0129 -0.2481" Properties=species:S:1:pos:R:3 pbc="T T T"
As -2.5005 -1.2365 1.0897
As -7.5015 -3.7095 3.2691
Ga 0.0000 0.0000 0.0000
Br -5.0010 -2.4730 2.1794
```

Results
* formation energy (no corrections): 461 meV per atom
* space group: Fm-3m, No. 225

***

(6)
Density functional theory data (PBE-GGA) for ScTaBe10 after structural relaxation.

extended XYZ file:
```
12
Lattice="3.4228 0.0000 0.0000 0.0000 4.4963 0.0000 0.0000 0.0000 7.7221" Properties=species:S:1:pos:R:3 pbc="T T T"
Sc 0.0000 2.2482 3.8611
Ta 0.0000 0.0000 0.0000
Be 0.0000 0.0000 2.5449
Be 0.0000 2.2482 6.5146
Be 0.0000 2.2482 1.2075
Be 0.0000 0.0000 5.1772
Be 1.7114 0.0000 3.8611
Be 1.7114 2.2482 0.0000
Be 1.7114 1.0815 1.8448
Be 1.7114 3.4148 5.8773
Be 1.7114 3.4148 1.8448
Be 1.7114 1.0815 5.8773
```

Results
* calculated formation energy: -0.212 eV per atom
* space group: Pmmm, No. 47

***

(7)
Density functional theory data (PBE-GGA) for LiY2PbN after structural relaxation.

extended XYZ file:
```
5
Lattice="-2.6846 3.3605 -2.1727 -3.4397 -0.6007 3.3210 1.8655 3.1023 2.4933" Properties=species:S:1:pos:R:3 pbc="T T T"
Pb -2.1294 2.9311 1.8208
Y -1.7198 -0.3004 1.6605
Y -1.3423 1.6803 -1.0864
Li 0.9327 1.5512 1.2467
N 0.0000 0.0000 0.0000
```

Results
* formation energy (no corrections): -923 meV per atom
* space group: P4/mmm, No. 123

***

(8)
Density functional theory data (PBE-GGA) for Ge2TeCl after structural relaxation.

extended XYZ file:
```
8
Lattice="7.6800 0.0000 0.0000 0.0000 7.6800 0.0000 3.8400 3.8400 3.5568" Properties=species:S:1:pos:R:3 pbc="T T T"
Ge 5.7635 1.9200 0.8892
Ge 1.9165 5.7600 0.8892
Ge 5.7600 5.7565 2.6676
Ge 9.6000 9.6035 2.6676
Te 0.0000 0.0000 0.0000
Te 7.6800 3.8400 1.7784
Cl 3.8400 3.8400 0.0000
Cl 3.8400 7.6800 1.7784
```

Results
* formation energy (no corrections): 40 meV per atom
* space group: I-42d, No. 122